1.
# PBE Li3In3PtO8, optimized geometry
data_Li3In3PtO8
_chemical_formula_sum 'Li9 In9 Pt3 O24'
_space_group_name_H-M_alt 'R -3 m'
_space_group_IT_number 166
_space_group_name_Hall '-R 3 2"'
_cell_length_a 6.4375
_cell_length_b 6.4375
_cell_length_c 14.9398
_cell_angle_alpha 90.00
_cell_angle_beta 90.00
_cell_angle_gamma 120.00
loop_
_atom_site_label
_atom_site_type_symbol
_atom_site_fract_x
_atom_site_fract_y
_atom_site_fract_z
Li1 Li 0.0000 0.5000 0.0000
In1 In 0.0000 0.5000 0.5000
Pt1 Pt 0.0000 0.0000 0.5000
O1 O 0.0000 0.0000 0.2463
O2 O 0.0248 0.5124 0.2418
# ΔE_f (raw): -34.544 kcal/mol of atoms
# Crystal system: trigonal
# Raw total energy: -82.13 eV per formula unit
# V: 536.2 Å³/cell

---

2.
# PBE Li3In2PtO6, optimized geometry
data_Li3In2PtO6
_chemical_formula_sum 'Li6 In4 Pt2 O12'
_space_group_name_H-M_alt 'C 1 2/m 1'
_space_group_IT_number 12
_cell_length_a 5.504
_cell_length_b 9.692
_cell_length_c 5.287
_cell_angle_alpha 90.00
_cell_angle_beta 108.81
_cell_angle_gamma 90.00
loop_
_space_group_symop_operation_xyz
'x,y,z'
'-x,-y,-z'
'-x,y,-z'
'x,-y,z'
'x+1/2,y+1/2,z'
'-x+1/2,-y+1/2,-z'
'-x+1/2,y+1/2,-z'
'x+1/2,-y+1/2,z'
loop_
_atom_site_label
_atom_site_type_symbol
_atom_site_fract_x
_atom_site_fract_y
_atom_site_fract_z
Li1 Li 0.000 0.000 0.000
Li2 Li 0.000 0.345 0.000
In1 In 0.000 0.170 0.500
Pt1 Pt 0.000 0.500 0.500
O1 O 0.243 0.500 0.271
O2 O 0.249 0.333 0.747
# ΔE_f (raw): -32.270 kcal/mol of atoms
# Crystal system: monoclinic
# Raw total energy: -63.80 eV per formula unit
# V: 267.0 Å³/cell

---

3.
# PBE LiPuInO6, optimized geometry
data_LiPuInO6
_chemical_formula_sum 'Li1 Pu1 In1 O6'
_space_group_name_H-M_alt 'P 3 1 2'
_space_group_IT_number 149
_cell_length_a 5.2482
_cell_length_b 5.2482
_cell_length_c 4.7134
_cell_angle_alpha 90.00
_cell_angle_beta 90.00
_cell_angle_gamma 120.00
loop_
_space_group_symop_operation_xyz
'x,y,z'
'-y,x-y,z'
'-x+y,-x,z'
'-y,-x,-z'
'-x+y,y,-z'
'x,x-y,-z'
loop_
_atom_site_label
_atom_site_type_symbol
_atom_site_fract_x
_atom_site_fract_y
_atom_site_fract_z
Li1 Li 0.0000 0.0000 0.0000
Pu1 Pu 0.6667 0.3333 0.0000
In1 In 0.3333 0.6667 0.5000
O1 O 0.3507 0.0193 0.2308
# ΔE_f (raw): -41.703 kcal/mol of atoms
# Crystal system: trigonal
# Raw total energy: -65.01 eV per formula unit
# V: 112.4 Å³/cell

---

4.
# PBE Li4Pu3InO12, optimized geometry
data_Li4Pu3InO12
_chemical_formula_sum 'Li12 Pu9 In3 O36'
_space_group_name_H-M_alt 'R 3 2'
_space_group_IT_number 155
_space_group_name_Hall 'R 3 2"'
_cell_length_a 11.4007
_cell_length_b 11.4007
_cell_length_c 8.0496
_cell_angle_alpha 90.00
_cell_angle_beta 90.00
_cell_angle_gamma 120.00
loop_
_atom_site_label
_atom_site_type_symbol
_atom_site_fract_x
_atom_site_fract_y
_atom_site_fract_z
Li1 Li 0.0000 0.0000 0.0000
Li2 Li 0.0000 0.4358 0.0000
Pu1 Pu 0.0000 0.5617 0.5000
In1 In 0.0000 0.0000 0.5000
O1 O 0.0000 0.6065 0.0000
O2 O 0.0000 0.8329 0.0000
O3 O 0.0683 0.2399 0.6943
# ΔE_f (raw): -49.713 kcal/mol of atoms
# Crystal system: trigonal
# Raw total energy: -156.00 eV per formula unit
# V: 906.1 Å³/cell